## Re2MoIr (PBE)

Data for a geometry-optimized Re2MoIr structure.

Results
Size of the total moment = 0.01 Bohr magnetons per cell
Theoretical density = 18.18 g/cm³
Energy above the lowest structure with this stoichiometry = 0.158 eV/atom
N(E_F) = 4.86 states/eV/f.u.

a = 3.912 Å, b = 2.760 Å, c = 6.236 Å
α = 63.68°, β = 90.00°, γ = 90.00°
Atoms (fractional coordinates):
Ir 0.500 0.250 0.250
Mo 0.500 0.750 0.750
Re 0.000 0.994 0.005
Re 0.000 0.506 0.495



## Re2MoIr (PBE)

Data for a geometry-optimized Re2MoIr structure.

Results
Size of the total moment = 0.00 Bohr magnetons per cell
Theoretical density = 18.25 g/cm³
Energy above the lowest structure with this stoichiometry = 0.055 eV/atom
N(E_F) = 3.87 states/eV/f.u.

a = 2.754 Å, b = 4.816 Å, c = 5.544 Å
α = 54.81°, β = 90.00°, γ = 90.00°
Atoms (fractional coordinates):
Ir 0.500 0.500 0.500
Mo 0.000 0.000 0.500
Re 0.000 0.000 0.000
Re 0.500 0.500 0.000



## Re2MoIr (PBE)

Data for a geometry-optimized Re2MoIr structure.

Results
Size of the total moment = 0.00 Bohr magnetons per cell
Theoretical density = 18.26 g/cm³
Energy above the lowest structure with this stoichiometry = 0.044 eV/atom
N(E_F) = 3.45 states/eV/f.u.

a = 4.802 Å, b = 4.802 Å, c = 4.802 Å
α = 131.92°, β = 131.92°, γ = 70.36°
Atoms (fractional coordinates):
Ir 0.500 0.500 0.000
Mo 0.250 0.750 0.500
Re 0.000 0.000 0.000
Re 0.750 0.250 0.500



## ReMo2IrRu (PBE)

Data for a geometry-optimized ReMo2IrRu structure.

Results
Size of the total moment = 0.01 Bohr magnetons per cell
Theoretical density = 11.02 g/cm³
E = -8.49 eV/atom
N(E_F) = 7.82 states/eV/f.u.

a = 4.649 Å, b = 4.682 Å, c = 4.649 Å
α = 90.00°, β = 90.00°, γ = 90.00°
Atoms (fractional coordinates):
Re 0.000 0.000 0.000
Mo 0.000 0.000 0.500
Mo 0.500 0.000 0.000
Ir 0.000 0.500 0.000
Ru 0.500 0.500 0.500



## ZnRe2MoIr (PBE)

Data for a geometry-optimized ZnRe2MoIr structure.

Results
Size of the total moment = 1.44 Bohr magnetons per cell
Theoretical density = 11.82 g/cm³
E = -7.30 eV/atom
N(E_F) = 4.93 states/eV/f.u.

a = 4.730 Å, b = 4.561 Å, c = 4.730 Å
α = 90.00°, β = 90.00°, γ = 90.00°
Last column: magnetic moment on the atom in μB.
Atoms (fractional coordinates):
Re 0.000 0.000 0.500  -0.81
Re 0.500 0.000 0.000  -0.66
Mo 0.500 0.500 0.500  2.54
Ir 0.000 0.000 0.000  0.08
Zn 0.000 0.500 0.000  0.01



## ZrReMoIr2 (PBE)

Data for a geometry-optimized ZrReMoIr2 structure.

Results
Size of the total moment = 2.52 Bohr magnetons per cell
Theoretical density = 11.52 g/cm³
E = -8.41 eV/atom
N(E_F) = 5.81 states/eV/f.u.

a = 4.700 Å, b = 4.945 Å, c = 4.700 Å
α = 90.00°, β = 90.00°, γ = 90.00°
Last column: magnetic moment on the atom in μB.
Atoms (fractional coordinates):
Re 0.000 0.000 0.000  0.06
Mo 0.500 0.500 0.500  2.34
Ir 0.000 0.000 0.500  -0.07
Ir 0.500 0.000 0.000  0.01
Zr 0.000 0.500 0.000  -0.17



## MoIrRh3 (PBE)

Data for a geometry-optimized MoIrRh3 structure.

Results
Size of the total moment = 0.11 Bohr magnetons per cell
Theoretical density = 10.01 g/cm³
Energy above the lowest structure with this stoichiometry = 1.149 eV/atom
N(E_F) = 7.18 states/eV/f.u.

a = 5.274 Å, b = 5.274 Å, c = 5.115 Å
α = 58.97°, β = 58.97°, γ = 60.00°
Last column: magnetic moment on the atom in μB.
Atoms (fractional coordinates):
Mo 0.475 0.475 0.575  1.30
Ir 0.975 0.975 0.075  -0.87
Rh 0.475 0.975 0.575  -0.24
Rh 0.975 0.475 0.575  -0.24
Rh 0.975 0.975 0.575  -0.24



## MoIr2Rh3 (PBE)

Data for a geometry-optimized MoIr2Rh3 structure.

Results
Size of the total moment = 0.00 Bohr magnetons per cell
Theoretical density = 15.06 g/cm³
E = -8.61 eV/atom
N(E_F) = 6.13 states/eV/f.u.

a = 4.386 Å, b = 4.777 Å, c = 8.304 Å
α = 90.00°, β = 90.00°, γ = 90.00°
Atoms (fractional coordinates):
Mo 0.500 0.082 0.500
Mo 0.000 0.918 0.000
Ir 0.000 0.913 0.333
Ir 0.000 0.913 0.667
Ir 0.500 0.087 0.833
Ir 0.500 0.087 0.167
Rh 0.500 0.582 0.334
Rh 0.000 0.416 0.500
Rh 0.500 0.582 0.666
Rh 0.000 0.418 0.834
Rh 0.500 0.584 0.000
Rh 0.000 0.418 0.166